Entry 1:
The following is a DFT calculation (PBE-GGA) of a relaxed structure of YSc2Mo.

Lattice parameters (Å, degrees): 4.443 4.443 4.560 90.00 90.00 90.00
Fractional positions:
Y1 0.000 0.000 0.000
Sc1 0.000 0.500 0.500
Sc2 0.500 0.000 0.500
Mo1 0.500 0.500 0.000

Calculated values
The calculation puts the energy relative to the lowest polymorph listed for this composition at 0.117 eV per atom. As for the calculated density: 5.07 g/cm³. For the total moment, the calculation gives 0.00 μB/cell. Its calculated formation energy is 0.260 eV/atom.

***

Entry 2:
The following is a DFT calculation (PBE-GGA) of a relaxed structure of DyThBi.

Lattice parameters (Å, degrees): 4.076 4.076 11.258 90.00 90.00 90.00
Fractional positions:
Dy1 0.000 0.000 0.000
Dy2 0.500 0.500 0.500
Th1 0.000 0.000 0.690
Th2 0.500 0.500 0.190
Bi1 0.000 0.000 0.356
Bi2 0.500 0.500 0.856

Calculated values
As for the calculated density: 10.72 g/cm³. For the total moment, the calculation gives 0.00 μB/cell. Its calculated formation energy is -0.344 eV/atom.

***

Entry 3:
The following is a DFT calculation (PBE-GGA) of a relaxed structure of Hf2InReBi.

Lattice parameters (Å, degrees): 5.109 5.109 5.210 90.00 90.00 90.00
Fractional positions:
Hf1 0.000 0.500 0.000
Hf2 0.500 0.000 0.000
In1 0.000 0.000 0.500
Re1 0.500 0.500 0.000
Bi1 0.500 0.500 0.500

Calculated values
The calculation puts the energy relative to the lowest polymorph listed for this composition at 0.165 eV per atom. As for the calculated density: 10.58 g/cm³. For the total moment, the calculation gives 0.00 μB/cell. Its calculated formation energy is 0.629 eV/atom.

***

Entry 4:
The following is a DFT calculation (PBE-GGA) of a relaxed structure of Ac2AsPbO6.

Lattice parameters (Å, degrees): 5.794 5.794 5.379 90.00 90.00 90.00
Fractional positions:
Ac1 0.000 0.500 0.000
Ac2 0.500 0.000 0.000
As1 0.000 0.000 0.613
Pb1 0.500 0.500 0.550
O1 0.000 0.000 0.271
O2 0.227 0.227 0.736
O3 0.227 0.773 0.736
O4 0.500 0.500 0.108
O5 0.773 0.227 0.736
O6 0.773 0.773 0.736

Calculated values
As for the calculated density: 7.65 g/cm³. For the total moment, the calculation gives 0.00 μB/cell. The raw formation energy is -2.055 eV/atom.